# 1
A plane-wave DFT calculation with SCAN was carried out for a crystal of TaSeIBr2 relaxed with PBEsol.

Results
**Symmetry**: P4/mmm (123)
**Fermi-level density of states**: 7.9 states/eV/f.u.
**ΔE_f (raw)**: 1.482 eV per atom

abc: 5.5072 5.5072 5.4570
angles: 90.00 90.00 90.00
Sites, in units of the cell vectors:
Ta 0.0000 0.0000 0.0000
Se 0.5000 0.5000 0.0000
I 0.5000 0.5000 0.5000
Br 0.0000 0.5000 0.5000
Br 0.5000 0.0000 0.5000

***

# 2
A plane-wave DFT calculation with SCAN was carried out for a crystal of ZrPbAu2 relaxed with PBEsol.

Results
**Symmetry**: Pmm2 (25)
**Fermi-level density of states**: 1.7 states/eV/f.u.
**E_form**: -0.2850 eV/atom

abc: 3.4319 3.4420 6.9258
angles: 90.00 90.00 90.00
Sites, in units of the cell vectors:
Zr 0.0000 0.0000 0.0000
Pb 0.5000 0.5000 0.3032
Au 0.0000 0.0000 0.5700
Au 0.5000 0.5000 0.7860

***

# 3
A plane-wave DFT calculation with SCAN was carried out for a crystal of Mg2ZnRuPb relaxed with PBEsol.

Results
**Symmetry**: P4/mmm (123)
**Fermi-level density of states**: 2.5 states/eV/f.u.
**E_form**: 0.4446 eV/atom

abc: 4.8120 4.8120 4.6138
angles: 90.00 90.00 90.00
Sites, in units of the cell vectors:
Mg 0.0000 0.5000 0.0000
Mg 0.5000 0.0000 0.0000
Zn 0.0000 0.0000 0.0000
Ru 0.0000 0.0000 0.5000
Pb 0.5000 0.5000 0.5000

***

# 4
A plane-wave DFT calculation with SCAN was carried out for a crystal of ErIr2 relaxed with PBEsol.

Results
**Symmetry**: Fd-3m (227)
**Fermi-level density of states**: 2.5 states/eV/f.u.
**E_form**: -1.0102 eV/atom

abc: 5.2714 5.2714 5.2714
angles: 60.00 60.00 60.00
Sites, in units of the cell vectors:
Er 0.1250 0.1250 0.1250
Er 0.8750 0.8750 0.8750
Ir 0.0000 0.5000 0.5000
Ir 0.5000 0.0000 0.5000
Ir 0.5000 0.5000 0.0000
Ir 0.5000 0.5000 0.5000